No. 1
The following is a PBEsol calculation of crystalline AlP3Ru at its relaxed geometry, from Alexandria via LeMat-Bulk.

Lattice parameters (Å, degrees): 4.426 4.426 4.426 90.00 90.00 90.00
Element x y z (fractional)
Ru: 0.500 0.500 0.500
Al: 0.000 0.000 0.000
P: 0.000 0.500 0.000
P: 0.000 0.000 0.500
P: 0.500 0.000 0.000

Output
Crystal system = cubic
ΔE_f = 1.22 eV/atom
DOS(E_F) = 1.15 states/eV/atom
Magnetic moment = 0.00 μB per atom
Density = 4.2 g/cm³

No. 2
The following is a PBEsol calculation of crystalline AlSbPS2 at its relaxed geometry, from Alexandria via LeMat-Bulk.

Lattice parameters (Å, degrees): 4.922 4.922 4.997 90.00 90.00 90.00
Element x y z (fractional)
Sb: 0.000 0.000 0.000
S: 0.000 0.500 0.000
S: 0.500 0.000 0.000
Al: 0.500 0.500 0.500
P: 0.000 0.000 0.500

Output
Crystal system = tetragonal
DOS(E_F) = 0.55 states/eV/atom
Magnetic moment = 0.00 μB per atom
Density = 3.3 g/cm³
Energy relative to the elements, uncorrected = 0.6576 eV per atom